# 1
First-principles (GGA-PBE) data for a geometry-optimized K2Sn3Te5 structure, as listed in Alexandria.

Output
The calculation puts the uncorrected formation energy at -0.51 eV/atom. As for the symmetry: C2/m, No. 12.

extended XYZ file:
```
10
Lattice="4.462 0.000 0.990 1.748 8.096 2.673 0.033 -0.867 10.399" Properties=species:S:1:pos:R:3 pbc="T T T"
K 1.632 0.456 3.194
K 4.611 6.773 10.868
Te 3.817 3.504 3.898
Te 2.426 3.725 10.163
Te 0.000 0.000 0.000
Sn 3.121 3.614 7.031
Sn 4.720 1.877 10.376
Te 5.371 5.838 7.442
Sn 1.523 5.352 3.685
Te 0.872 1.391 6.619
```

***

# 2
First-principles (GGA-PBE) data for a geometry-optimized TeMoOs2 structure, as listed in Alexandria.

Output
The calculation puts the uncorrected formation energy at 0.74 eV/atom. As for the symmetry: Cmmm, No. 65.

extended XYZ file:
```
4
Lattice="-1.170 -0.446 4.574 -4.101 -1.011 -2.154 0.760 -2.895 -0.088" Properties=species:S:1:pos:R:3 pbc="T T T"
Os -2.636 -0.729 1.210
Mo -1.671 -1.953 -1.121
Os 0.000 0.000 0.000
Te -0.205 -1.671 2.243
```

***

# 3
First-principles (GGA-PBE) data for a geometry-optimized BOsRu2 structure, as listed in Alexandria.

Output
The energy of formation comes out at 0.01 eV per formula unit. As for the symmetry: P4/mmm, No. 123.

extended XYZ file:
```
4
Lattice="2.718 0.000 0.000 0.000 2.718 0.000 0.000 0.000 6.487" Properties=species:S:1:pos:R:3 pbc="T T T"
Ru 0.000 0.000 5.172
B 1.359 1.359 0.000
Ru 0.000 0.000 1.316
Os 1.359 1.359 3.244
```

***

# 4
First-principles (GGA-PBE) data for a geometry-optimized NaAu3Br structure, as listed in Alexandria.

Output
The calculation puts the uncorrected formation energy at 0.54 eV/atom. As for the symmetry: Pm-3m, No. 221. As for the relative energy among the computed polymorphs: 0.0 meV per atom.

extended XYZ file:
```
5
Lattice="-1.602 -1.216 4.941 2.214 -4.830 -0.471 4.581 1.909 1.955" Properties=species:S:1:pos:R:3 pbc="T T T"
Au 1.107 -2.415 -0.236
Au 2.291 0.955 0.978
Br 0.000 0.000 0.000
Na 2.597 -2.069 3.212
Au -0.801 -0.608 2.470
```

***

# 5
First-principles (GGA-PBE) data for a geometry-optimized PrCdPd structure, as listed in Alexandria.

Output
The energy of formation comes out at -1.91 eV per formula unit. As for the symmetry: Pmma, No. 51.

extended XYZ file:
```
18
Lattice="-0.945 -3.138 2.365 7.066 0.400 3.353 -4.931 8.548 9.373" Properties=species:S:1:pos:R:3 pbc="T T T"
Cd 2.001 -0.391 3.734
Cd 3.952 0.888 6.210
Cd -2.762 4.921 8.881
Pd -0.527 -0.722 2.285
Pd 2.659 2.357 4.190
Pr -1.017 4.763 5.914
Pd -2.043 1.905 5.166
Pr 3.152 4.184 6.812
Pd 3.233 3.904 9.925
Pd -0.524 6.590 8.536
Pr 5.163 0.699 2.990
Pr -0.144 2.198 2.860
Cd -0.811 6.200 11.356
Pr -3.028 8.248 9.736
Pd 1.717 6.531 12.806
Cd 0.494 3.937 8.876
Cd 0.696 1.872 6.215
Pr 2.279 6.749 9.866
```

***

# 6
First-principles (GGA-PBE) data for a geometry-optimized Li2LaP structure, as listed in Alexandria.

Output
The energy of formation comes out at -1.92 eV per formula unit. As for the symmetry: Imm2, No. 44.

extended XYZ file:
```
4
Lattice="-1.943 -1.019 4.367 -0.771 -4.603 -1.450 4.374 2.176 0.125" Properties=species:S:1:pos:R:3 pbc="T T T"
Li 0.616 -0.664 2.891
P -1.500 -3.108 1.613
La 1.087 -2.694 0.106
Li -2.613 -5.414 2.809
```

***

# 7
First-principles (GGA-PBE) data for a geometry-optimized NdY8C4 structure, as listed in Alexandria.

Output
The energy of formation comes out at -2.50 eV per formula unit. As for the symmetry: C2/m, No. 12.

extended XYZ file:
```
13
Lattice="3.544 0.000 0.768 1.624 9.049 1.068 -0.192 -0.065 9.449" Properties=species:S:1:pos:R:3 pbc="T T T"
Y 2.123 3.164 7.326
Y 4.550 8.857 4.688
Y 1.002 2.875 3.938
Y 1.674 5.846 9.402
Y 2.983 5.856 3.360
C 2.566 7.490 5.284
C 3.685 4.571 8.679
Y 0.556 0.163 6.000
C 2.540 1.529 5.403
Nd 1.645 -0.048 9.535
Y 3.432 3.174 1.283
C 1.421 4.448 2.005
Y 4.104 6.144 6.747
```

***

# 8
First-principles (GGA-PBE) data for a geometry-optimized AsWSe2Cl structure, as listed in Alexandria.

Output
The calculation puts the uncorrected formation energy at 0.23 eV/atom. As for the symmetry: P4/mmm, No. 123. As for the relative energy among the computed polymorphs: 0.0 meV per atom.

extended XYZ file:
```
5
Lattice="4.850 0.000 0.000 0.000 4.850 0.000 0.000 0.000 5.059" Properties=species:S:1:pos:R:3 pbc="T T T"
Se 2.425 0.000 0.000
Cl 2.425 2.425 2.530
W 0.000 0.000 0.000
Se 0.000 2.425 0.000
As 0.000 0.000 2.530
```

***

# 9
First-principles (GGA-PBE) data for a geometry-optimized ThCuRh2 structure, as listed in Alexandria.

Output
The energy of formation comes out at -1.63 eV per formula unit. As for the symmetry: P4/mmm, No. 123. As for the relative energy among the computed polymorphs: 268.2 meV per atom.

extended XYZ file:
```
4
Lattice="-3.265 1.160 -0.464 -0.210 -1.791 -2.995 -2.066 -4.645 2.923" Properties=species:S:1:pos:R:3 pbc="T T T"
Rh -1.521 -3.419 2.151
Th -1.738 -0.315 -1.730
Cu -2.771 -2.638 -0.268
Rh -0.545 -1.226 0.771
```

***

# 10
First-principles (GGA-PBE) data for a geometry-optimized RbNaH3 structure, as listed in Alexandria.

Output
As for the symmetry: Pm-3m, No. 221. As for the relative energy among the computed polymorphs: 0.0 meV per atom.

extended XYZ file:
```
5
Lattice="4.475 0.000 0.000 0.000 4.475 0.000 0.000 0.000 4.475" Properties=species:S:1:pos:R:3 pbc="T T T"
H 2.238 0.000 0.000
Rb 2.238 2.238 2.238
Na 0.000 0.000 0.000
H 0.000 0.000 2.238
H 0.000 2.238 0.000
```

***

# 11
First-principles (GGA-PBE) data for a geometry-optimized SrZrW2 structure, as listed in Alexandria.

Output
The energy of formation comes out at 4.74 eV per formula unit. As for the symmetry: I4/mmm, No. 139. As for the relative energy among the computed polymorphs: 665.3 meV per atom.

extended XYZ file:
```
4
Lattice="5.740 -0.013 0.000 2.834 4.992 0.000 -4.287 -2.489 2.894" Properties=species:S:1:pos:R:3 pbc="T T T"
W 4.287 2.489 0.000
W 0.000 0.000 0.000
Sr 2.870 -0.007 1.447
Zr 1.417 2.496 1.447
```

***

# 12
First-principles (GGA-PBE) data for a geometry-optimized SrTh2Pa structure, as listed in Alexandria.

Output
The energy of formation comes out at 1.55 eV per formula unit. As for the symmetry: R-3m, No. 166.

extended XYZ file:
```
4
Lattice="-1.836 -1.147 -2.806 -3.057 -1.731 0.470 -7.901 10.012 -1.159" Properties=species:S:1:pos:R:3 pbc="T T T"
Th -6.113 6.884 -1.051
Pa -6.397 3.567 -1.748
Sr 0.000 0.000 0.000
Th -6.680 0.250 -2.445
```

***

# 13
First-principles (GGA-PBE) data for a geometry-optimized MgTl3Sb2 structure, as listed in Alexandria.

Output
The calculation puts the uncorrected formation energy at -0.09 eV/atom. As for the symmetry: Ibam, No. 72.

extended XYZ file:
```
12
Lattice="7.047 0.000 0.000 0.000 6.994 0.000 -3.524 -3.497 7.727" Properties=species:S:1:pos:R:3 pbc="T T T"
Tl 5.272 0.000 2.684
Tl 1.748 0.000 5.042
Sb 5.491 3.497 1.818
Tl 1.776 3.497 2.684
Mg 0.000 5.246 0.000
Tl -1.748 3.497 5.042
Tl 3.524 5.246 0.000
Sb -1.968 0.000 5.909
Mg 0.000 1.749 0.000
Sb 1.556 0.000 1.818
Tl 3.524 1.749 0.000
Sb 1.968 3.497 5.909
```

***

# 14
First-principles (GGA-PBE) data for a geometry-optimized TaHgSb structure, as listed in Alexandria.

Output
The calculation puts the uncorrected formation energy at 0.32 eV/atom. As for the symmetry: Fmm2, No. 42. As for the relative energy among the computed polymorphs: 0.0 meV per atom.

extended XYZ file:
```
3
Lattice="-4.375 7.218 -1.618 -5.504 6.325 1.059 2.012 2.178 0.667" Properties=species:S:1:pos:R:3 pbc="T T T"
Hg -9.512 13.192 -0.520
Sb -6.293 10.116 -0.189
Ta -1.941 5.956 0.260
```

***

# 15
First-principles (GGA-PBE) data for a geometry-optimized BaSrTi2W structure, as listed in Alexandria.

Output
The energy of formation comes out at 10.64 eV per formula unit. As for the symmetry: P4/mmm, No. 123.

extended XYZ file:
```
5
Lattice="5.262 0.000 0.000 0.000 5.298 0.000 0.000 0.000 5.262" Properties=species:S:1:pos:R:3 pbc="T T T"
Ba 2.631 2.649 2.631
Ti 0.000 0.000 2.631
Ti 2.631 0.000 0.000
W 0.000 2.649 0.000
Sr 0.000 0.000 0.000
```

***

# 16
First-principles (GGA-PBE) data for a geometry-optimized YMgCd2 structure, as listed in Alexandria.

Output
The energy of formation comes out at -0.38 eV per formula unit. As for the symmetry: Cm, No. 8.

extended XYZ file:
```
4
Lattice="-2.160 2.706 0.726 -1.790 1.637 -2.576 -8.671 -4.596 0.515" Properties=species:S:1:pos:R:3 pbc="T T T"
Cd -3.260 -0.129 -0.324
Y -2.641 2.903 -1.237
Cd -6.737 -3.009 0.218
Mg -6.294 -0.145 -0.660
```

***

# 17
First-principles (GGA-PBE) data for a geometry-optimized NaSi3O structure, as listed in Alexandria.

Output
The calculation puts the uncorrected formation energy at 0.25 eV/atom. As for the symmetry: Pm-3m, No. 221. As for the relative energy among the computed polymorphs: 0.0 meV per atom.

extended XYZ file:
```
5
Lattice="-3.017 0.658 3.032 -3.032 0.270 -3.075 -0.657 -4.269 0.273" Properties=species:S:1:pos:R:3 pbc="T T T"
O 0.000 0.000 0.000
Na -3.353 -1.670 0.115
Si -1.508 0.329 1.516
Si -1.516 0.135 -1.538
Si -0.328 -2.134 0.137
```

***

# 18
First-principles (GGA-PBE) data for a geometry-optimized CuReRuF2 structure, as listed in Alexandria.

Output
The calculation puts the uncorrected formation energy at 0.29 eV/atom. As for the symmetry: P4/mmm, No. 123.

extended XYZ file:
```
5
Lattice="3.920 0.000 0.000 0.000 4.968 0.000 0.000 0.000 3.920" Properties=species:S:1:pos:R:3 pbc="T T T"
Ru 0.000 0.000 0.000
F 0.000 0.000 1.960
Cu 1.960 2.484 1.960
Re 0.000 2.484 0.000
F 1.960 0.000 0.000
```

***

# 19
First-principles (GGA-PBE) data for a geometry-optimized KBa2N structure, as listed in Alexandria.

Output
The calculation puts the uncorrected formation energy at -0.09 eV/atom. As for the symmetry: I-42d, No. 122.

extended XYZ file:
```
8
Lattice="8.404 0.000 0.000 0.000 8.404 0.000 4.202 4.202 5.581" Properties=species:S:1:pos:R:3 pbc="T T T"
K 8.404 4.202 2.790
Ba 6.303 7.659 4.186
Ba 4.946 2.101 1.395
Ba 10.505 9.148 4.186
N 4.202 8.404 2.790
Ba 3.457 6.303 1.395
N 4.202 4.202 0.000
K 0.000 0.000 0.000
```

***

# 20
First-principles (GGA-PBE) data for a geometry-optimized ZrCuN3 structure, as listed in Alexandria.

Output
The calculation puts the uncorrected formation energy at 1.16 eV/atom. As for the symmetry: Pm-3m, No. 221.

extended XYZ file:
```
5
Lattice="-3.189 2.742 -0.133 -2.374 -2.652 2.245 1.379 1.777 3.557" Properties=species:S:1:pos:R:3 pbc="T T T"
Cu -2.092 0.934 2.834
N -1.187 -1.326 1.123
N -1.595 1.371 -0.067
N 0.690 0.888 1.778
Zr 0.000 0.000 0.000
```